Record 1
Compound: BaCaZn2
Source: Alexandria
Functional: PBE
Structure: optimized geometry

```
data_BaCaZn2
_cell_length_a 4.404
_cell_length_b 4.530
_cell_length_c 6.770
_cell_angle_alpha 90.00
_cell_angle_beta 108.92
_cell_angle_gamma 90.00
_space_group_name_H-M_alt 'P 1 m 1'
_space_group_IT_number 6
_space_group_name_Hall 'P -2y'
loop_
_atom_site_label
_atom_site_fract_x
_atom_site_fract_y
_atom_site_fract_z
_atom_site_occupancy
Ba1 0.000 0.000 0.000 1
Ca1 0.716 0.500 0.431 1
Zn1 0.283 0.000 0.564 1
Zn2 0.390 0.500 0.780 1
```

Summary:
The polymorph energy (0 for the lowest one) is 0.0056 eV per atom. As for the density: 4.01 g/cm3. The density of states at the Fermi level comes out at 3.715 states/eV/cell. Its calculated volume is 128 Å³/cell.



Record 2
Compound: BaCaZn2
Source: Alexandria
Functional: PBE
Structure: optimized geometry

```
data_BaCaZn2
_cell_length_a 5.371
_cell_length_b 5.371
_cell_length_c 20.745
_cell_angle_alpha 90.00
_cell_angle_beta 90.00
_cell_angle_gamma 90.00
_space_group_name_H-M_alt 'I 41/a m d'
_space_group_IT_number 141
loop_
_space_group_symop_operation_xyz
'x,y,z'
'-x,-y,-z'
'-y+1/4,x+3/4,z+1/4'
'y+1/4,-x+3/4,-z+1/4'
'-x+1/2,-y,z+1/2'
'x+1/2,y,-z+1/2'
'y+1/4,-x+1/4,z+3/4'
'-y+1/4,x+1/4,-z+3/4'
'x,-y,-z'
'-x,y,z'
'-y+1/4,-x+1/4,-z+3/4'
'y+1/4,x+1/4,z+3/4'
'-x+1/2,y,-z+1/2'
'x+1/2,-y,z+1/2'
'y+1/4,x+3/4,-z+1/4'
'-y+1/4,-x+3/4,z+1/4'
'x+1/2,y+1/2,z+1/2'
'-x+1/2,-y+1/2,-z+1/2'
'-y+3/4,x+1/4,z+3/4'
'y+3/4,-x+1/4,-z+3/4'
'-x,-y+1/2,z'
'x,y+1/2,-z'
'y+3/4,-x+3/4,z+1/4'
'-y+3/4,x+3/4,-z+1/4'
'x+1/2,-y+1/2,-z+1/2'
'-x+1/2,y+1/2,z+1/2'
'-y+3/4,-x+3/4,-z+1/4'
'y+3/4,x+3/4,z+1/4'
'-x,y+1/2,-z'
'x,-y+1/2,z'
'y+3/4,x+1/4,-z+3/4'
'-y+3/4,-x+1/4,z+3/4'
loop_
_atom_site_label
_atom_site_fract_x
_atom_site_fract_y
_atom_site_fract_z
_atom_site_occupancy
Ba1 0.000 0.250 0.375 1
Ca1 0.000 0.250 0.875 1
Zn1 0.000 0.000 0.000 1
```

Summary:
The polymorph energy (0 for the lowest one) is 0.3298 eV per atom. As for the density: 3.42 g/cm3. The density of states at the Fermi level comes out at 11.454 states/eV/cell. Its calculated volume is 598 Å³/cell.



Record 3
Compound: BaCaZn
Source: Alexandria
Functional: PBE
Structure: optimized geometry

```
data_BaCaZn
_cell_length_a 5.4298
_cell_length_b 5.4298
_cell_length_c 4.4952
_cell_angle_alpha 90.00
_cell_angle_beta 90.00
_cell_angle_gamma 120.00
_space_group_name_H-M_alt 'P 3 m 1'
_space_group_IT_number 156
_space_group_name_Hall 'P 3 -2"'
loop_
_atom_site_label
_atom_site_fract_x
_atom_site_fract_y
_atom_site_fract_z
_atom_site_occupancy
Ba1 0.0000 0.0000 0.0000 1
Ca1 0.6667 0.3333 0.4996 1
Zn1 0.3333 0.6667 0.5030 1
```

Summary:
The polymorph energy (0 for the lowest one) is 0.1608 eV per atom. As for the density: 3.51 g/cm3. The density of states at the Fermi level comes out at 4.195 states/eV/cell. Its calculated volume is 115 Å³/cell.